1.
Below is a relaxed structure of BaSb12Pd4, with properties calculated at the PBE-GGA level.

The structure in POSCAR format:
```
BaSb12Pd4
1.0
8.369 0.000 0.000
-2.790 7.891 0.000
-2.790 -3.945 6.834
Pd Sb Ba
4 12 1
Direct
0.500 0.500 0.500 Pd
0.500 0.000 0.000 Pd
0.000 0.000 0.500 Pd
0.000 0.500 0.000 Pd
0.504 0.157 0.347 Sb
0.190 0.843 0.347 Sb
0.843 0.653 0.496 Sb
0.347 0.504 0.157 Sb
0.157 0.653 0.810 Sb
0.810 0.157 0.653 Sb
0.653 0.496 0.843 Sb
0.496 0.843 0.653 Sb
0.157 0.347 0.504 Sb
0.843 0.347 0.190 Sb
0.347 0.190 0.843 Sb
0.653 0.810 0.157 Sb
0.000 0.000 0.000 Ba
```

Results
Space group: Im-3, No. 204
Formation energy (no corrections) in eV/atom: -0.352
Uncorrected energy in eV for the cell shown: -78.15



2.
Below is a relaxed structure of SiSn, with properties calculated at the PBE-GGA level.

The structure in POSCAR format:
```
SiSn
1.0
-2.194 4.795 -6.413
-0.180 -3.049 -2.218
-5.549 -1.802 2.927
Sn Si
4 4
Direct
0.669 0.500 0.769 Sn
0.952 0.000 0.699 Sn
0.952 0.500 0.199 Sn
0.669 0.000 0.269 Sn
0.222 0.000 0.447 Si
0.334 0.500 0.654 Si
0.334 0.000 0.154 Si
0.222 0.500 0.947 Si
```

Results
Space group: Cm, No. 8
Formation energy (no corrections) in eV/atom: 0.233
Uncorrected energy in eV for the cell shown: -35.84